No. 1
Entry from Alexandria via LeMat-Bulk: NaLaSb3 after structural relaxation (PBE).

Summary:
magnetization	0.00	μB/cell
uncorrected formation energy	-0.6761	eV/atom
raw total energy	-87.98	eV per cell
crystal system	monoclinic
DOS(E_F)	0.548	states/eV/atom
relative energy among the computed polymorphs	0	meV/atom

Geometry as CIF:
```
data_NaLaSb3
_chemical_formula_sum 'Na4 La4 Sb12'
_space_group_name_H-M_alt 'P 1 2/c 1'
_space_group_IT_number 13
_cell_length_a 6.527
_cell_length_b 14.612
_cell_length_c 6.221
_cell_angle_alpha 90.00
_cell_angle_beta 90.64
_cell_angle_gamma 90.00
loop_
_space_group_symop_operation_xyz
'x,y,z'
'-x,-y,-z'
'-x,y,-z+1/2'
'x,-y,z+1/2'
loop_
_atom_site_label
_atom_site_type_symbol
_atom_site_fract_x
_atom_site_fract_y
_atom_site_fract_z
_atom_site_occupancy
Na1 Na 0.000 0.092 0.250 1
Na2 Na 0.500 0.102 0.250 1
La1 La 0.254 0.324 0.510 1
Sb1 Sb 0.000 0.497 0.250 1
Sb2 Sb 0.244 0.264 0.004 1
Sb3 Sb 0.273 0.102 0.740 1
Sb4 Sb 0.500 0.497 0.250 1
```

---

No. 2
Entry from Alexandria via LeMat-Bulk: SmVN3 after structural relaxation (PBE).

Summary:
magnetization	0.00	μB/cell
uncorrected formation energy	-0.7847	eV/atom
raw total energy	-85.47	eV per cell
crystal system	monoclinic
DOS(E_F)	0.653	states/eV/atom

Geometry as CIF:
```
data_SmVN3
_chemical_formula_sum 'Sm2 V2 N6'
_space_group_name_H-M_alt 'P 1 21/m 1'
_space_group_IT_number 11
_cell_length_a 5.657
_cell_length_b 3.700
_cell_length_c 7.768
_cell_angle_alpha 90.00
_cell_angle_beta 109.96
_cell_angle_gamma 90.00
loop_
_space_group_symop_operation_xyz
'x,y,z'
'-x,-y,-z'
'-x,y+1/2,-z'
'x,-y+1/2,z'
loop_
_atom_site_label
_atom_site_type_symbol
_atom_site_fract_x
_atom_site_fract_y
_atom_site_fract_z
_atom_site_occupancy
Sm1 Sm 0.245 0.250 0.192 1
V1 V 0.146 0.250 0.666 1
N1 N 0.017 0.750 0.617 1
N2 N 0.062 0.250 0.873 1
N3 N 0.468 0.250 0.727 1
```

---

No. 3
Entry from Alexandria via LeMat-Bulk: CeNdAgGe after structural relaxation (PBE).

Summary:
magnetization	7.62	μB/cell
raw total energy	-79.46	eV per cell
crystal system	cubic
DOS(E_F)	2.342	states/eV/atom
energy of formation from the pure elements	-0.423	eV/atom

Geometry as CIF:
```
data_CeNdAgGe
_chemical_formula_sum 'Ce4 Nd4 Ag4 Ge4'
_space_group_name_H-M_alt 'F -4 3 m'
_space_group_IT_number 216
_space_group_name_Hall 'F -4 2 3'
_cell_length_a 7.414
_cell_length_b 7.414
_cell_length_c 7.414
_cell_angle_alpha 90.00
_cell_angle_beta 90.00
_cell_angle_gamma 90.00
loop_
_atom_site_label
_atom_site_type_symbol
_atom_site_fract_x
_atom_site_fract_y
_atom_site_fract_z
_atom_site_occupancy
Ce1 Ce 0.000 0.000 0.000 1
Nd1 Nd 0.000 0.000 0.500 1
Ag1 Ag 0.250 0.250 0.750 1
Ge1 Ge 0.250 0.250 0.250 1
```

---

No. 4
Entry from Alexandria via LeMat-Bulk: LiBeCd3 after structural relaxation (PBE).

Summary:
magnetization	0.00	μB/cell
raw total energy	-4.89	eV per cell
crystal system	cubic
DOS(E_F)	0.390	states/eV/atom
relative energy among the computed polymorphs	568	meV/atom
energy of formation from the pure elements	0.698	eV/atom

Geometry as CIF:
```
data_LiBeCd3
_chemical_formula_sum 'Li1 Be1 Cd3'
_space_group_name_H-M_alt 'P m -3 m'
_space_group_IT_number 221
_space_group_name_Hall '-P 4 2 3'
_cell_length_a 4.760
_cell_length_b 4.760
_cell_length_c 4.760
_cell_angle_alpha 90.00
_cell_angle_beta 90.00
_cell_angle_gamma 90.00
loop_
_atom_site_label
_atom_site_type_symbol
_atom_site_fract_x
_atom_site_fract_y
_atom_site_fract_z
_atom_site_occupancy
Li1 Li 0.000 0.000 0.000 1
Be1 Be 0.500 0.500 0.500 1
Cd1 Cd 0.000 0.000 0.500 1
```

---

No. 5
Entry from Alexandria via LeMat-Bulk: Hf2AlSbW after structural relaxation (PBE).

Summary:
magnetization	0.00	μB/cell
uncorrected formation energy	0.9055	eV/atom
raw total energy	-36.20	eV per cell
crystal system	tetragonal
DOS(E_F)	0.870	states/eV/atom

Geometry as CIF:
```
data_Hf2AlSbW
_chemical_formula_sum 'Hf2 Al1 Sb1 W1'
_space_group_name_H-M_alt 'P 4/m m m'
_space_group_IT_number 123
_space_group_name_Hall '-P 4 2'
_cell_length_a 4.953
_cell_length_b 4.953
_cell_length_c 4.585
_cell_angle_alpha 90.00
_cell_angle_beta 90.00
_cell_angle_gamma 90.00
loop_
_atom_site_label
_atom_site_type_symbol
_atom_site_fract_x
_atom_site_fract_y
_atom_site_fract_z
_atom_site_occupancy
Hf1 Hf 0.000 0.500 0.000 1
Al1 Al 0.000 0.000 0.000 1
Sb1 Sb 0.500 0.500 0.500 1
W1 W 0.000 0.000 0.500 1
```

---

No. 6
Entry from Alexandria via LeMat-Bulk: ScGaSe after structural relaxation (PBE).

Summary:
magnetization	0.00	μB/cell
uncorrected formation energy	-0.9642	eV/atom
raw total energy	-62.94	eV per cell
crystal system	monoclinic
DOS(E_F)	0.123	states/eV/atom

Geometry as CIF:
```
data_ScGaSe
_chemical_formula_sum 'Sc4 Ga4 Se4'
_space_group_name_H-M_alt 'C 1 2/m 1'
_space_group_IT_number 12
_cell_length_a 6.772
_cell_length_b 3.910
_cell_length_c 11.652
_cell_angle_alpha 90.00
_cell_angle_beta 100.44
_cell_angle_gamma 90.00
loop_
_space_group_symop_operation_xyz
'x,y,z'
'-x,-y,-z'
'-x,y,-z'
'x,-y,z'
'x+1/2,y+1/2,z'
'-x+1/2,-y+1/2,-z'
'-x+1/2,y+1/2,-z'
'x+1/2,-y+1/2,z'
loop_
_atom_site_label
_atom_site_type_symbol
_atom_site_fract_x
_atom_site_fract_y
_atom_site_fract_z
_atom_site_occupancy
Sc1 Sc 0.095 0.000 0.269 1
Ga1 Ga 0.184 0.000 0.554 1
Se1 Se 0.106 0.500 0.842 1
```

---

No. 7
Entry from Alexandria via LeMat-Bulk: CaTm3Fe after structural relaxation (PBE).

Summary:
magnetization	0.00	μB/cell
raw total energy	-23.73	eV per cell
crystal system	cubic
DOS(E_F)	0.606	states/eV/atom
relative energy among the computed polymorphs	0	meV/atom
energy of formation from the pure elements	0.029	eV/atom

Geometry as CIF:
```
data_CaTm3Fe
_chemical_formula_sum 'Ca1 Tm3 Fe1'
_space_group_name_H-M_alt 'P m -3 m'
_space_group_IT_number 221
_space_group_name_Hall '-P 4 2 3'
_cell_length_a 5.237
_cell_length_b 5.237
_cell_length_c 5.237
_cell_angle_alpha 90.00
_cell_angle_beta 90.00
_cell_angle_gamma 90.00
loop_
_atom_site_label
_atom_site_type_symbol
_atom_site_fract_x
_atom_site_fract_y
_atom_site_fract_z
_atom_site_occupancy
Ca1 Ca 0.000 0.000 0.000 1
Tm1 Tm 0.000 0.500 0.500 1
Fe1 Fe 0.500 0.500 0.500 1
```

---

No. 8
Entry from Alexandria via LeMat-Bulk: NdDyAl2Ge after structural relaxation (PBE).

Summary:
magnetization	0.00	μB/cell
raw total energy	-47.83	eV per cell
crystal system	orthorhombic
DOS(E_F)	0.362	states/eV/atom
energy of formation from the pure elements	-0.489	eV/atom

Geometry as CIF:
```
data_NdDyAl2Ge
_chemical_formula_sum 'Nd2 Dy2 Al4 Ge2'
_space_group_name_H-M_alt 'I m m 2'
_space_group_IT_number 44
_cell_length_a 4.349
_cell_length_b 4.436
_cell_length_c 12.364
_cell_angle_alpha 90.00
_cell_angle_beta 90.00
_cell_angle_gamma 90.00
loop_
_space_group_symop_operation_xyz
'x,y,z'
'-x,-y,z'
'-x,y,z'
'x,-y,z'
'x+1/2,y+1/2,z+1/2'
'-x+1/2,-y+1/2,z+1/2'
'-x+1/2,y+1/2,z+1/2'
'x+1/2,-y+1/2,z+1/2'
loop_
_atom_site_label
_atom_site_type_symbol
_atom_site_fract_x
_atom_site_fract_y
_atom_site_fract_z
_atom_site_occupancy
Nd1 Nd 0.000 0.000 0.000 1
Dy1 Dy 0.000 0.500 0.755 1
Al1 Al 0.000 0.000 0.603 1
Al2 Al 0.000 0.500 0.237 1
Ge1 Ge 0.000 0.000 0.401 1
```

---

Which formula does entry 3 have? CeNdAgGe

---

raw total energy of number 8 (NdDyAl2Ge)? -47.83 eV per cell

---

Look up the raw total energy of the fifth one. -36.20 eV per cell

---

Copy entry 5 word for word.
Entry from Alexandria via LeMat-Bulk: Hf2AlSbW after structural relaxation (PBE).

Summary:
magnetization	0.00	μB/cell
uncorrected formation energy	0.9055	eV/atom
raw total energy	-36.20	eV per cell
crystal system	tetragonal
DOS(E_F)	0.870	states/eV/atom

Geometry as CIF:
```
data_Hf2AlSbW
_chemical_formula_sum 'Hf2 Al1 Sb1 W1'
_space_group_name_H-M_alt 'P 4/m m m'
_space_group_IT_number 123
_space_group_name_Hall '-P 4 2'
_cell_length_a 4.953
_cell_length_b 4.953
_cell_length_c 4.585
_cell_angle_alpha 90.00
_cell_angle_beta 90.00
_cell_angle_gamma 90.00
loop_
_atom_site_label
_atom_site_type_symbol
_atom_site_fract_x
_atom_site_fract_y
_atom_site_fract_z
_atom_site_occupancy
Hf1 Hf 0.000 0.500 0.000 1
Al1 Al 0.000 0.000 0.000 1
Sb1 Sb 0.500 0.500 0.500 1
W1 W 0.000 0.000 0.500 1
```